Entry 1:
The following is a PBE calculation of TlTc2Se2 after structural relaxation, from the Alexandria database.

Lattice parameters (Å, degrees): 4.8707 4.8707 8.6929 90.00 90.00 90.00
Space group I4/mmm (No. 139)
Inequivalent atoms, fractional coordinates:
Tl: 0.0000 0.0000 0.0000
Tc: 0.0000 0.0000 0.3723
Se: 0.0000 0.5000 0.2500

uncorrected formation energy: 219 meV/atom

Entry 2:
The following is a PBE calculation of MgCr2Ni after structural relaxation, from the Alexandria database.

Lattice parameters (Å, degrees): 2.5285 2.5285 8.0803 90.00 90.00 90.00
Space group P4/mmm (No. 123)
Inequivalent atoms, fractional coordinates:
Mg: 0.0000 0.0000 0.0000
Cr: 0.5000 0.5000 0.2774
Ni: 0.0000 0.0000 0.5000

formation energy from the elements: 0.39 eV per atom

Entry 3:
The following is a PBE calculation of Pr3Pa4N8 after structural relaxation, from the Alexandria database.

Lattice parameters (Å, degrees): 10.0338 10.1267 7.1259 90.00 134.63 90.00
Space group C2/m (No. 12)
Inequivalent atoms, fractional coordinates:
Pr: 0.0000 0.0000 0.0000
Pr: 0.2500 0.2500 0.0000
Pa: 0.0000 0.0000 0.5000
Pa: 0.0000 0.5000 0.0000
Pa: 0.2500 0.2500 0.5000
N: 0.0000 0.2291 0.5000
N: 0.0000 0.2627 0.0000
N: 0.2450 0.0000 0.5244
N: 0.2455 0.0000 0.9443

uncorrected formation energy: -1366 meV/atom

Entry 4:
The following is a PBE calculation of Zr2CrPb after structural relaxation, from the Alexandria database.

Lattice parameters (Å, degrees): 4.3597 4.3597 4.4268 90.00 90.00 90.00
Space group P4/mmm (No. 123)
Inequivalent atoms, fractional coordinates:
Zr: 0.0000 0.5000 0.0000
Cr: 0.0000 0.0000 0.5000
Pb: 0.5000 0.5000 0.5000

formation energy from the elements: 0.10 eV per atom

Entry 5:
The following is a PBE calculation of Nd19Y4Ho6 after structural relaxation, from the Alexandria database.

Lattice parameters (Å, degrees): 12.7198 12.7198 12.7198 90.00 90.00 90.00
Space group I23 (No. 197)
Inequivalent atoms, fractional coordinates:
Nd: 0.0000 0.0000 0.0000
Nd: 0.0000 0.0000 0.2609
Nd: 0.0622 0.2613 0.2811
Y: 0.1800 0.1800 0.8200
Ho: 0.0000 0.3750 0.5000

formation energy from the elements: 0.37 eV per atom

Entry 6:
The following is a PBE calculation of Ho12FeHg6 after structural relaxation, from the Alexandria database.

Lattice parameters (Å, degrees): 11.9067 11.9067 13.0846 90.00 90.00 120.00
Space group R-3 (No. 148, hexagonal axes)
Inequivalent atoms, fractional coordinates:
Ho: 0.0340 0.8473 0.3887
Ho: 0.0358 0.1864 0.8801
Fe: 0.0000 0.0000 0.0000
Hg: 0.0060 0.6099 0.2550

formation energy from the elements: -0.20 eV per atom

Entry 7:
The following is a PBE calculation of KZrAs2Se after structural relaxation, from the Alexandria database.

Lattice parameters (Å, degrees): 5.0991 5.0991 5.3355 90.00 90.00 90.00
Space group P4/mmm (No. 123)
Inequivalent atoms, fractional coordinates:
K: 0.0000 0.0000 0.0000
Zr: 0.5000 0.5000 0.5000
As: 0.0000 0.5000 0.0000
Se: 0.0000 0.0000 0.5000

energy relative to the lowest polymorph listed for this composition: 1742 meV/atom
uncorrected formation energy: 1259 meV/atom

Entry 8:
The following is a PBE calculation of LaTiTeN2 after structural relaxation, from the Alexandria database.

Lattice parameters (Å, degrees): 4.2987 4.2987 5.9011 90.00 90.00 90.00
Space group P4/mmm (No. 123)
Inequivalent atoms, fractional coordinates:
La: 0.0000 0.0000 0.0000
Ti: 0.5000 0.5000 0.0000
Te: 0.0000 0.0000 0.5000
N: 0.0000 0.5000 0.5000

energy relative to the lowest polymorph listed for this composition: 2032 meV/atom
uncorrected formation energy: 1657 meV/atom

Entry 9:
The following is a PBE calculation of Sc3SnMo after structural relaxation, from the Alexandria database.

Lattice parameters (Å, degrees): 5.2955 5.2955 5.2955 90.00 90.00 90.00
Space group Pm-3m (No. 221)
Inequivalent atoms, fractional coordinates:
Sc: 0.0000 0.0000 0.5000
Sn: 0.0000 0.0000 0.0000
Mo: 0.5000 0.5000 0.5000

energy relative to the lowest polymorph listed for this composition: 704 meV/atom
formation energy from the elements: 1.00 eV per atom

Entry 10:
The following is a PBE calculation of HoTaO4 after structural relaxation, from the Alexandria database.

Lattice parameters (Å, degrees): 5.1357 5.5073 5.3223 90.00 96.42 90.00
Space group P2/c (No. 13)
Inequivalent atoms, fractional coordinates:
Ho: 0.0000 0.2324 0.2500
Ta: 0.5000 0.3061 0.7500
O: 0.2489 0.0849 0.5992
O: 0.2679 0.4351 0.9962

uncorrected formation energy: -3277 meV/atom

Entry 11:
The following is a PBE calculation of AlVNi2 after structural relaxation, from the Alexandria database.

Lattice parameters (Å, degrees): 3.6373 3.6373 16.2848 90.00 90.00 90.00
Space group I-42d (No. 122)
Inequivalent atoms, fractional coordinates:
Al: 0.0000 0.0000 0.0000
V: 0.0000 0.0000 0.5000
Ni: 0.2483 0.2500 0.1250

formation energy from the elements: 0.15 eV per atom

Entry 12:
The following is a PBE calculation of In2GaBr6 after structural relaxation, from the Alexandria database.

Lattice parameters (Å, degrees): 14.9323 13.4985 8.6096 90.00 111.40 90.00
Space group C2/c (No. 15)
Inequivalent atoms, fractional coordinates:
In: 0.2073 0.0988 0.2440
Ga: 0.0000 0.4069 0.2500
Br: 0.1062 0.4059 0.6461
Br: 0.1386 0.0004 0.4502
Br: 0.1556 0.2836 0.2039

energy relative to the lowest polymorph listed for this composition: 59 meV/atom
uncorrected formation energy: -655 meV/atom

M_tot list, top to bottom, in μB per atom: 0.000 0.000 0.047 0.687 0.000 0.000 0.019 0.000 0.603 0.000 0.001 0.000